{
  "formula": "AlRe2Os",
  "functional": "GGA-PBE",
  "state": "relaxed",
  "lattice": [[2.951, 0.000, 0.000], [0.000, 2.951, 0.000], [0.000, 0.000, 6.603]],
  "species": ["Al", "Re", "Re", "Os"],
  "frac_coords": [[0.000, 0.000, 0.000], [0.000, 0.000, 0.495], [0.500, 0.500, 0.754], [0.500, 0.500, 0.236]],
  "ef_ev_per_atom": -0.117,
  "magnetic_moment_mub_per_fu": 0.000
}